(1)
# K2LaCu SCAN single point on PBEsol structure
# D(E_F) (states/eV/cell): 3.07
# ΔE to the lowest computed polymorph (meV/atom): 0
# Energy of formation (eV per atom): 0.161
data_K2LaCu
_space_group_name_H-M_alt 'P 1 m 1'
_space_group_IT_number 6
_space_group_name_Hall 'P -2y'
_cell_length_a 3.796
_cell_length_b 3.796
_cell_length_c 10.975
_cell_angle_alpha 90.00
_cell_angle_beta 90.40
_cell_angle_gamma 90.00
loop_
_atom_site_label
_atom_site_type_symbol
_atom_site_fract_x
_atom_site_fract_y
_atom_site_fract_z
K1 K 0.000 0.000 0.000
K2 K 0.484 0.500 0.361
La1 La 0.992 0.000 0.671
Cu1 Cu 0.494 0.500 0.785

***

(2)
# Co4TcAg SCAN single point on PBEsol structure
# D(E_F) (states/eV/cell): 24.40
# Energy of formation (eV per atom): 0.546
data_Co4TcAg
_space_group_name_H-M_alt 'F -4 3 m'
_space_group_IT_number 216
_space_group_name_Hall 'F -4 2 3'
_cell_length_a 6.517
_cell_length_b 6.517
_cell_length_c 6.517
_cell_angle_alpha 90.00
_cell_angle_beta 90.00
_cell_angle_gamma 90.00
loop_
_atom_site_label
_atom_site_type_symbol
_atom_site_fract_x
_atom_site_fract_y
_atom_site_fract_z
Co1 Co 0.125 0.125 0.125
Tc1 Tc 0.000 0.000 0.500
Ag1 Ag 0.250 0.250 0.750

***

(3)
# CaMn2ReP SCAN single point on PBEsol structure
# D(E_F) (states/eV/cell): 2.53
# Energy of formation (eV per atom): 0.110
data_CaMn2ReP
_space_group_name_H-M_alt 'P 4/m m m'
_space_group_IT_number 123
_space_group_name_Hall '-P 4 2'
_cell_length_a 4.795
_cell_length_b 4.795
_cell_length_c 4.507
_cell_angle_alpha 90.00
_cell_angle_beta 90.00
_cell_angle_gamma 90.00
loop_
_atom_site_label
_atom_site_type_symbol
_atom_site_fract_x
_atom_site_fract_y
_atom_site_fract_z
Ca1 Ca 0.000 0.000 0.000
Mn1 Mn 0.000 0.500 0.500
Re1 Re 0.500 0.500 0.500
P1 P 0.500 0.500 0.000

***

(4)
# KScHg SCAN single point on PBEsol structure
# D(E_F) (states/eV/cell): 13.99
# ΔE to the lowest computed polymorph (meV/atom): 193
# Energy of formation (eV per atom): 0.441
data_KScHg
_space_group_name_H-M_alt 'F -4 3 m'
_space_group_IT_number 216
_space_group_name_Hall 'F -4 2 3'
_cell_length_a 7.097
_cell_length_b 7.097
_cell_length_c 7.097
_cell_angle_alpha 90.00
_cell_angle_beta 90.00
_cell_angle_gamma 90.00
loop_
_atom_site_label
_atom_site_type_symbol
_atom_site_fract_x
_atom_site_fract_y
_atom_site_fract_z
K1 K 0.000 0.000 0.000
Sc1 Sc 0.250 0.250 0.750
Hg1 Hg 0.000 0.000 0.500

***

(5)
# OsPbCl2 SCAN single point on PBEsol structure
# D(E_F) (states/eV/cell): 8.55
# E_form (uncorrected) (eV/atom): 0.38
# ΔE to the lowest computed polymorph (meV/atom): 0
data_OsPbCl2
_space_group_name_H-M_alt 'R 3 m'
_space_group_IT_number 160
_space_group_name_Hall 'R 3 -2"'
_cell_length_a 3.5142
_cell_length_b 3.5142
_cell_length_c 23.8118
_cell_angle_alpha 90.00
_cell_angle_beta 90.00
_cell_angle_gamma 120.00
loop_
_atom_site_label
_atom_site_type_symbol
_atom_site_fract_x
_atom_site_fract_y
_atom_site_fract_z
Os1 Os 0.0000 0.0000 0.0000
Pb1 Pb 0.0000 0.0000 0.2396
Cl1 Cl 0.0000 0.0000 0.4866
Cl2 Cl 0.0000 0.0000 0.7106

***

(6)
# TlAu SCAN single point on PBEsol structure
# D(E_F) (states/eV/cell): 2.38
# Energy of formation (eV per atom): 0.047
data_TlAu
_space_group_name_H-M_alt 'I m m a'
_space_group_IT_number 74
_space_group_name_Hall '-I 2b 2'
_cell_length_a 3.333
_cell_length_b 5.088
_cell_length_c 10.374
_cell_angle_alpha 90.00
_cell_angle_beta 90.00
_cell_angle_gamma 90.00
loop_
_atom_site_label
_atom_site_type_symbol
_atom_site_fract_x
_atom_site_fract_y
_atom_site_fract_z
Tl1 Tl 0.000 0.250 0.105
Au1 Au 0.000 0.250 0.643

***

(7)
# TcAsI3 SCAN single point on PBEsol structure
# D(E_F) (states/eV/cell): 2.67
# E_form (uncorrected) (eV/atom): 0.88
data_TcAsI3
_space_group_name_H-M_alt 'P m -3 m'
_space_group_IT_number 221
_space_group_name_Hall '-P 4 2 3'
_cell_length_a 5.584
_cell_length_b 5.584
_cell_length_c 5.584
_cell_angle_alpha 90.00
_cell_angle_beta 90.00
_cell_angle_gamma 90.00
loop_
_atom_site_label
_atom_site_type_symbol
_atom_site_fract_x
_atom_site_fract_y
_atom_site_fract_z
Tc1 Tc 0.000 0.000 0.000
As1 As 0.500 0.500 0.500
I1 I 0.000 0.500 0.500

***

(8)
# LaAgHg2 SCAN single point on PBEsol structure
# D(E_F) (states/eV/cell): 3.35
# Energy of formation (eV per atom): -0.445
data_LaAgHg2
_space_group_name_H-M_alt 'I -4 m 2'
_space_group_IT_number 119
_space_group_name_Hall 'I -4 -2'
_cell_length_a 5.073
_cell_length_b 5.073
_cell_length_c 7.155
_cell_angle_alpha 90.00
_cell_angle_beta 90.00
_cell_angle_gamma 90.00
loop_
_atom_site_label
_atom_site_type_symbol
_atom_site_fract_x
_atom_site_fract_y
_atom_site_fract_z
La1 La 0.000 0.000 0.000
Ag1 Ag 0.000 0.500 0.250
Hg1 Hg 0.000 0.000 0.500
Hg2 Hg 0.000 0.500 0.750

***

(9)
# LiZn2Cd SCAN single point on PBEsol structure
# D(E_F) (states/eV/cell): 0.90
# Energy of formation (eV per atom): -0.112
data_LiZn2Cd
_space_group_name_H-M_alt 'P 4 m m'
_space_group_IT_number 99
_space_group_name_Hall 'P 4 -2'
_cell_length_a 3.254
_cell_length_b 3.254
_cell_length_c 5.881
_cell_angle_alpha 90.00
_cell_angle_beta 90.00
_cell_angle_gamma 90.00
loop_
_atom_site_label
_atom_site_type_symbol
_atom_site_fract_x
_atom_site_fract_y
_atom_site_fract_z
Li1 Li 0.000 0.000 0.000
Zn1 Zn 0.000 0.000 0.459
Zn2 Zn 0.500 0.500 0.231
Cd1 Cd 0.500 0.500 0.743

***

(10)
# Ti3HgI SCAN single point on PBEsol structure
# D(E_F) (states/eV/cell): 5.01
# E_form (uncorrected) (eV/atom): 0.92
data_Ti3HgI
_space_group_name_H-M_alt 'P m -3 m'
_space_group_IT_number 221
_space_group_name_Hall '-P 4 2 3'
_cell_length_a 4.907
_cell_length_b 4.907
_cell_length_c 4.907
_cell_angle_alpha 90.00
_cell_angle_beta 90.00
_cell_angle_gamma 90.00
loop_
_atom_site_label
_atom_site_type_symbol
_atom_site_fract_x
_atom_site_fract_y
_atom_site_fract_z
Ti1 Ti 0.000 0.000 0.500
Hg1 Hg 0.500 0.500 0.500
I1 I 0.000 0.000 0.000

***

(11)
# SrZrRh2 SCAN single point on PBEsol structure
# D(E_F) (states/eV/cell): 2.06
# Energy of formation (eV per atom): -0.365
data_SrZrRh2
_space_group_name_H-M_alt 'P m m 2'
_space_group_IT_number 25
_space_group_name_Hall 'P 2 -2'
_cell_length_a 3.242
_cell_length_b 4.770
_cell_length_c 5.055
_cell_angle_alpha 90.00
_cell_angle_beta 90.00
_cell_angle_gamma 90.00
loop_
_atom_site_label
_atom_site_type_symbol
_atom_site_fract_x
_atom_site_fract_y
_atom_site_fract_z
Sr1 Sr 0.000 0.000 0.000
Zr1 Zr 0.000 0.500 0.486
Rh1 Rh 0.500 0.000 0.503
Rh2 Rh 0.500 0.500 0.897

***

(12)
# K3Sr SCAN single point on PBEsol structure
# D(E_F) (states/eV/cell): 2.89
# ΔE to the lowest computed polymorph (meV/atom): 0
# Energy of formation (eV per atom): 0.049
data_K3Sr
_space_group_name_H-M_alt 'P -6 m 2'
_space_group_IT_number 187
_space_group_name_Hall 'P -6 2'
_cell_length_a 4.4046
_cell_length_b 4.4046
_cell_length_c 15.1478
_cell_angle_alpha 90.00
_cell_angle_beta 90.00
_cell_angle_gamma 120.00
loop_
_atom_site_label
_atom_site_type_symbol
_atom_site_fract_x
_atom_site_fract_y
_atom_site_fract_z
K1 K 0.0000 0.0000 0.0000
K2 K 0.6667 0.3333 0.2574
Sr1 Sr 0.0000 0.0000 0.5000